PBE Tc2Ir9Ru, optimized geometry; E_tot = -110.752 eV/cell; crystal system = tetragonal; energy of formation from the pure elements = -0.083 eV per atom
1.0
3.867 0.000 0.000
0.000 3.867 0.000
0.000 0.000 11.593
Tc Ir Ru
2 9 1
Cartesian
0.000 0.000 1.958
0.000 0.000 9.635
0.000 1.933 0.000
0.000 1.933 3.854
0.000 1.933 7.739
1.933 0.000 0.000
1.933 0.000 3.854
1.933 0.000 7.739
1.933 1.933 1.928
1.933 1.933 5.796
1.933 1.933 9.665
0.000 0.000 5.796